Compound: CdNiMo2
Source: Alexandria
Functional: PBE
Structure: relaxed

Cell lengths 2.685, 3.970, 5.941 Å; angles 90.00, 90.00, 90.00 degrees
Atoms (fractional coordinates):
Cd 0.000 0.000 0.000
Ni 0.500 0.500 0.749
Mo 0.000 0.000 0.525
Mo 0.500 0.500 0.289

Total energy: -6.7584 eV/atom
Mass density: 9.519 Mg/m³
ΔE_f: 0.331 eV/atom